i | # P2RhSI

P2RhSI after structural relaxation (PBE, Alexandria via LeMat-Bulk).

The structure in POSCAR format:
```
P2RhSI
1.0
4.571 0.000 0.000
0.000 4.571 0.000
0.000 0.000 5.013
P Rh S I
2 1 1 1
Direct
0.000 0.500 0.000
0.500 0.000 0.000
0.000 0.000 0.000
0.000 0.000 0.500
0.500 0.500 0.500
```

**Symmetry**: No. 123
**Calculated volume**: 105 Å³ per cell

***

ii | # P2RhSI

P2RhSI after structural relaxation (PBE, Alexandria via LeMat-Bulk).

The structure in POSCAR format:
```
P2RhSI
1.0
5.087 0.000 0.000
0.000 5.087 0.000
0.000 0.000 4.921
P Rh S I
2 1 1 1
Direct
0.000 0.500 0.000
0.500 0.000 0.000
0.000 0.000 0.500
0.500 0.500 0.500
0.500 0.500 0.000
```

**Symmetry**: No. 123
**Calculated volume**: 127 Å³ per cell

***

Last place for stability: ii

***

i | # Sb2PRhI

Sb2PRhI after structural relaxation (PBE, Alexandria via LeMat-Bulk).

The structure in POSCAR format:
```
Sb2PRhI
1.0
5.157 0.000 0.000
0.000 5.157 0.000
0.000 0.000 5.136
Sb P Rh I
2 1 1 1
Direct
0.000 0.500 0.000
0.500 0.000 0.000
0.000 0.000 0.000
0.500 0.500 0.500
0.000 0.000 0.500
```

**Symmetry**: No. 123
**Calculated volume**: 137 Å³ per cell

***

ii | # Sb2PRhI

Sb2PRhI after structural relaxation (PBE, Alexandria via LeMat-Bulk).

The structure in POSCAR format:
```
Sb2PRhI
1.0
5.105 0.000 0.000
0.000 5.105 0.000
0.000 0.000 5.361
Sb P Rh I
2 1 1 1
Direct
0.000 0.500 0.000
0.500 0.000 0.000
0.000 0.000 0.500
0.500 0.500 0.000
0.500 0.500 0.500
```

**Symmetry**: No. 123
**Calculated volume**: 140 Å³ per cell

***

Last place for stability: i

***

i | # TePRhI2

TePRhI2 after structural relaxation (PBE, Alexandria via LeMat-Bulk).

The structure in POSCAR format:
```
TePRhI2
1.0
5.337 0.000 0.000
0.000 5.337 0.000
0.000 0.000 5.366
Te P Rh I
1 1 1 2
Direct
0.000 0.000 0.000
0.000 0.000 0.500
0.500 0.500 0.000
0.000 0.500 0.500
0.500 0.000 0.500
```

**Symmetry**: No. 123
**Calculated volume**: 153 Å³ per cell

***

ii | # TePRhI2

TePRhI2 after structural relaxation (PBE, Alexandria via LeMat-Bulk).

The structure in POSCAR format:
```
TePRhI2
1.0
5.327 0.000 0.000
0.000 5.327 0.000
0.000 0.000 5.166
Te P Rh I
1 1 1 2
Direct
0.000 0.000 0.000
0.500 0.500 0.000
0.000 0.000 0.500
0.000 0.500 0.500
0.500 0.000 0.500
```

**Symmetry**: No. 123
**Calculated volume**: 147 Å³ per cell

***

Last place for stability: i

***

i | # PRu3I

PRu3I after structural relaxation (PBE, Alexandria via LeMat-Bulk).

The structure in POSCAR format:
```
PRu3I
1.0
4.461 0.000 0.000
0.000 4.461 0.000
0.000 0.000 4.461
P Ru I
1 3 1
Direct
0.000 0.000 0.000
0.000 0.000 0.500
0.000 0.500 0.000
0.500 0.000 0.000
0.500 0.500 0.500
```

**Symmetry**: No. 221
**Calculated volume**: 89 Å³ per cell

***

ii | # PRu3I

PRu3I after structural relaxation (PBE, Alexandria via LeMat-Bulk).

The structure in POSCAR format:
```
PRu3I
1.0
4.816 0.000 0.000
0.000 4.816 0.000
0.000 0.000 4.816
P Ru I
1 3 1
Direct
0.000 0.000 0.000
0.000 0.500 0.500
0.500 0.000 0.500
0.500 0.500 0.000
0.500 0.500 0.500
```

**Symmetry**: No. 221
**Calculated volume**: 112 Å³ per cell

***

Last place for stability: ii